No. 1
DFT (PBE) results for a geometry-optimized Np2Be3CuSi4 structure.

Computed properties:
**Crystal system**: tetragonal
**Energy relative to the elements, uncorrected**: -218 meV per atom

Structure (CIF):
```
data_Np2Be3CuSi4
_chemical_formula_sum 'Np2 Be3 Cu1 Si4'
_symmetry_space_group_name_H-M 'P -4 m 2'
_symmetry_Int_Tables_number 115
_cell_length_a 3.897
_cell_length_b 3.897
_cell_length_c 9.553
_cell_angle_alpha 90.00
_cell_angle_beta 90.00
_cell_angle_gamma 90.00
loop_
_symmetry_equiv_pos_as_xyz
'x,y,z'
'y,-x,-z'
'-x,-y,z'
'-y,x,-z'
'-x,y,z'
'-y,-x,-z'
'x,-y,z'
'y,x,-z'
loop_
_atom_site_label
_atom_site_fract_x
_atom_site_fract_y
_atom_site_fract_z
Np1 0.000 0.500 0.242
Be1 0.000 0.500 0.871
Be2 0.500 0.500 0.500
Cu1 0.000 0.000 0.500
Si1 0.000 0.000 0.000
Si2 0.000 0.500 0.639
Si3 0.500 0.500 0.000
```

No. 2
DFT (PBE) results for a geometry-optimized Be3CuO structure.

Computed properties:
**Crystal system**: cubic
**Energy relative to the elements, uncorrected**: 986 meV per atom

Structure (CIF):
```
data_Be3CuO
_chemical_formula_sum 'Be3 Cu1 O1'
_symmetry_space_group_name_H-M 'P m -3 m'
_symmetry_Int_Tables_number 221
_symmetry_space_group_name_Hall '-P 4 2 3'
_cell_length_a 4.013
_cell_length_b 4.013
_cell_length_c 4.013
_cell_angle_alpha 90.00
_cell_angle_beta 90.00
_cell_angle_gamma 90.00
loop_
_atom_site_label
_atom_site_fract_x
_atom_site_fract_y
_atom_site_fract_z
Be1 0.000 0.000 0.500
Cu1 0.000 0.000 0.000
O1 0.500 0.500 0.500
```

No. 3
DFT (PBE) results for a geometry-optimized Be3CuO structure.

Computed properties:
**Crystal system**: cubic
**Energy relative to the elements, uncorrected**: -458 meV per atom

Structure (CIF):
```
data_Be3CuO
_chemical_formula_sum 'Be3 Cu1 O1'
_symmetry_space_group_name_H-M 'P m -3 m'
_symmetry_Int_Tables_number 221
_symmetry_space_group_name_Hall '-P 4 2 3'
_cell_length_a 3.509
_cell_length_b 3.509
_cell_length_c 3.509
_cell_angle_alpha 90.00
_cell_angle_beta 90.00
_cell_angle_gamma 90.00
loop_
_atom_site_label
_atom_site_fract_x
_atom_site_fract_y
_atom_site_fract_z
Be1 0.000 0.000 0.500
Cu1 0.500 0.500 0.500
O1 0.000 0.000 0.000
```